# 1
Below is a geometry-optimized HfTiV2 structure, with properties calculated at the PBE level.

The calculation puts the formation enthalpy at 0 K at 0.18 eV/atom. The value obtained for the density is 8.22 g/cm³. The size of the total moment is 0.62 μB per atom. The energy above the most stable polymorph in this dataset is 54 meV/atom. The total energy comes out at -8.8433 eV/atom.

The structure belongs to space group Fm-3m (No. 225); the cell edges are 6.424, 6.424 and 6.424 Å and the angles 90.00°, 90.00° and 90.00°. Symmetry generates all atoms from Hf at (0.000, 0.000, 0.000), Ti at (0.000, 0.000, 0.500) and V at (0.250, 0.250, 0.250).

---

# 2
Below is a geometry-optimized ZnSb2 structure, with properties calculated at the PBE level.

The value obtained for the density is 5.95 g/cm³. The size of the total moment is 0.00 μB per atom. The uncorrected formation energy comes out at 0.331 eV per atom. The total energy comes out at -2.8424 eV/atom.

The structure belongs to space group P6_3/mmc (No. 194); the cell edges are 7.5986, 7.5986 and 6.8944 Å and the angles 90.00°, 90.00° and 120.00°. Symmetry generates all atoms from Zn at (0.3333, 0.6667, 0.0756), Sb at (0.0000, 0.0000, 0.0000) and Sb at (0.1956, 0.3912, 0.7500).

---

# 3
Below is a geometry-optimized Cu6RuO8 structure, with properties calculated at the PBE level.

The value obtained for the density is 5.50 g/cm³. The size of the total moment is 0.00 μB per atom. The uncorrected formation energy comes out at -0.251 eV per atom. The total energy comes out at -5.1520 eV/atom.

The structure belongs to space group R-3 (No. 148, hexagonal axes); the cell edges are 7.8081, 7.8081 and 10.4726 Å and the angles 90.00°, 90.00° and 120.00°. Symmetry generates all atoms from Cu at (0.0116, 0.1928, 0.3880), Ru at (0.0000, 0.0000, 0.0000), O at (0.0000, 0.0000, 0.1646) and O at (0.0244, 0.2869, 0.6046).

---

# 4
Below is a geometry-optimized LiTaP2 structure, with properties calculated at the PBE level.

The calculation puts the formation enthalpy at 0 K at -0.56 eV/atom. The value obtained for the density is 6.11 g/cm³. The size of the total moment is 0.00 μB per atom. The energy above the most stable polymorph in this dataset is 8 meV/atom. The total energy comes out at -6.7062 eV/atom.

The structure belongs to space group C2/m (No. 12); the cell edges are 5.991, 3.466 and 6.847 Å and the angles 90.00°, 107.07° and 90.00°. Symmetry generates all atoms from Li at (0.000, 0.000, 0.000), Ta at (0.000, 0.500, 0.500) and P at (0.246, 0.000, 0.737).

---

What did the third record say?
Below is a geometry-optimized Cu6RuO8 structure, with properties calculated at the PBE level.

The value obtained for the density is 5.50 g/cm³. The size of the total moment is 0.00 μB per atom. The uncorrected formation energy comes out at -0.251 eV per atom. The total energy comes out at -5.1520 eV/atom.

The structure belongs to space group R-3 (No. 148, hexagonal axes); the cell edges are 7.8081, 7.8081 and 10.4726 Å and the angles 90.00°, 90.00° and 120.00°. Symmetry generates all atoms from Cu at (0.0116, 0.1928, 0.3880), Ru at (0.0000, 0.0000, 0.0000), O at (0.0000, 0.0000, 0.1646) and O at (0.0244, 0.2869, 0.6046).